Below is a relaxed structure of CaMgSi2Sn, with properties calculated at the PBE level.

```
CaMgSi2Sn
1.0
5.2923 0.0000 0.0000
0.0000 5.5733 0.0000
0.0000 0.0000 5.2923
Mg Ca Si Sn
1 1 2 1
direct
0.0000 0.5000 0.0000
0.0000 0.0000 0.0000
0.0000 0.0000 0.5000
0.5000 0.0000 0.0000
0.5000 0.5000 0.5000
```

Formation energy without anion corrections = 1.1134 eV/atom
E_tot = -2.576 eV/atom
Theoretical density = 2.5 g cm⁻³